MgPaZnAg: optimized geometry, PBE.

**Formation energy from the elements**: 0.042 eV per atom
**Energy**: -3.76 eV per atom

Structure (CIF):
```
data_MgPaZnAg
_chemical_formula_sum 'Mg4 Pa4 Zn4 Ag4'
_cell_length_a 6.950
_cell_length_b 6.950
_cell_length_c 6.950
_cell_angle_alpha 90.00
_cell_angle_beta 90.00
_cell_angle_gamma 90.00
_space_group_name_H-M_alt 'F -4 3 m'
_space_group_IT_number 216
_space_group_name_Hall 'F -4 2 3'
loop_
_atom_site_label
_atom_site_fract_x
_atom_site_fract_y
_atom_site_fract_z
_atom_site_occupancy
Mg1 0.000 0.000 0.000 1
Pa1 0.000 0.000 0.500 1
Zn1 0.250 0.250 0.750 1
Ag1 0.250 0.250 0.250 1
```